Record 1
A plane-wave DFT calculation with PBE was carried out for an optimized crystal structure of Sr2PbBr.

Lattice parameters (Å, degrees): 4.0995 4.4139 16.8860 90.00 90.00 90.00
With the nearest neighbours (Å) after each atom.
Space group Imm2 (No. 44)
Unique sites:
Sr 0.0000 0.0000 0.0000 (multiplicity 2)  2 Pb 3.30, 4 Br 3.42
Sr 0.0000 0.5000 0.2594 (multiplicity 2)  4 Pb 3.41, 2 Br 3.43
Pb 0.0000 0.5000 0.8543 (multiplicity 2)  6 Sr 3.30-3.41
Br 0.0000 0.0000 0.5964 (multiplicity 2)  6 Sr 3.42-3.43

N(E_F) = 1.95 states/eV per cell

---

Record 2
A plane-wave DFT calculation with PBE was carried out for an optimized crystal structure of SrPbBr.

Lattice parameters (Å, degrees): 7.9828 7.9828 7.9828 90.00 90.00 90.00
With the nearest neighbours (Å) after each atom.
Space group F-43m (No. 216)
Unique sites:
Sr 0.0000 0.0000 0.0000 (multiplicity 4)  4 Pb 3.46, 4 Br 3.46
Pb 0.2500 0.2500 0.2500 (multiplicity 4)  4 Sr 3.46
Br 0.2500 0.2500 0.7500 (multiplicity 4)  4 Sr 3.46

N(E_F) = 15.14 states/eV per cell

---

Number 1: energy above the lowest structure with this stoichiometry 113.5 meV per atom, E -3.15 eV per atom, calculated density 5.03 g/cm3. Number 2: energy above the lowest structure with this stoichiometry 764.3 meV per atom, E -2.79 eV per atom, calculated density 4.89 g/cm3.